# 1
VASP calculation (meta-GGA SCAN) on a PBEsol-optimized structure of TlGaP3.

Summary:
Formation enthalpy at 0 K ... 1.4932 eV per atom
Total magnetic moment ... 0.00 μB/f.u.
Theoretical density ... 4.61 Mg/m³
Crystal system ... cubic
Volume ... 26.43 A^3/atom
DOS at the Fermi energy ... 5.22 states/eV per cell

Cell: 5.0933 5.0933 5.0933 Å, 90.00 90.00 90.00°
Fractional coordinates of all 5 atoms:
Tl (0.0000, 0.0000, 0.0000)
Ga (0.5000, 0.5000, 0.5000)
P (0.0000, 0.0000, 0.5000)
P (0.0000, 0.5000, 0.0000)
P (0.5000, 0.0000, 0.0000)

# 2
VASP calculation (meta-GGA SCAN) on a PBEsol-optimized structure of AlFeIr2.

Summary:
Formation enthalpy at 0 K ... -0.0971 eV per atom
Total magnetic moment ... 3.08 μB/f.u.
Theoretical density ... 14.26 Mg/m³
Crystal system ... orthorhombic
Volume ... 13.60 A^3/atom
DOS at the Fermi energy ... 5.72 states/eV per cell

Cell: 2.7580 4.6008 8.5750 Å, 90.00 90.00 90.00°
Fractional coordinates of all 8 atoms:
Al (0.0000, 0.0000, 0.0000)
Al (0.5000, 0.5000, 0.0000)
Fe (0.0000, 0.5000, 0.7634)
Fe (0.5000, 0.0000, 0.7634)
Ir (0.0000, 0.0000, 0.5197)
Ir (0.0000, 0.5000, 0.2409)
Ir (0.5000, 0.0000, 0.2409)
Ir (0.5000, 0.5000, 0.5197)

# 3
VASP calculation (meta-GGA SCAN) on a PBEsol-optimized structure of Mn2AlW.

Summary:
Formation enthalpy at 0 K ... -0.0859 eV per atom
Total magnetic moment ... 1.36 μB/f.u.
Theoretical density ... 10.45 Mg/m³
Crystal system ... tetragonal
Volume ... 12.74 A^3/atom
DOS at the Fermi energy ... 5.95 states/eV per cell

Cell: 3.5238 3.5238 8.2078 Å, 90.00 90.00 90.00°
Fractional coordinates of all 8 atoms:
Mn (0.0000, 0.0000, 0.0000)
Mn (0.0000, 0.5000, 0.2500)
Mn (0.5000, 0.0000, 0.7500)
Mn (0.5000, 0.5000, 0.5000)
Al (0.0000, 0.5000, 0.7500)
Al (0.5000, 0.0000, 0.2500)
W (0.0000, 0.0000, 0.5000)
W (0.5000, 0.5000, 0.0000)